The following is a PBE calculation of crystalline Y3Cl at its relaxed geometry, from Alexandria via LeMat-Bulk.

Unit cell a=3.6004 b=6.1172 c=6.1113 alpha=56.51 beta=90.00 gamma=90.00
Fractional coordinates of all 4 atoms:
Cl  0.0000  0.0000  0.0000
Y  0.5000  0.8050  0.8054
Y  0.0000  0.5000  0.5000
Y  0.5000  0.1950  0.1946

Distance to the lowest polymorph of the same formula (eV/f.u.): 0.22
Space group: P2/m
Raw formation energy (kJ/mol of atoms): -58.21
Total magnetization (μB/cell): 0.00